No. 1
BaNF6: optimized geometry, PBE.

Cell: 7.0864 7.0864 7.7518 Å, 57.08 57.08 77.58°
Fractional positions:
F 0.3515 0.8558 0.4966
F 0.3559 0.8512 0.7955
F 0.8558 0.3515 0.4966
F 0.1422 0.1422 0.1159
F 0.6485 0.1442 0.5034
F 0.6441 0.1488 0.2045
F 0.8578 0.8578 0.8841
F 0.1442 0.6485 0.5034
F 0.2798 0.2798 0.4807
F 0.7202 0.7202 0.5193
F 0.1488 0.6441 0.2045
F 0.8512 0.3559 0.7955
N 0.0000 0.5000 0.5000
N 0.5000 0.0000 0.5000
Ba 0.5000 0.0000 0.0000
Ba 0.0000 0.5000 0.0000

Symmetry: C2/m, No. 12
Formation energy (no corrections), eV/atom: -1.156
Energy relative to the lowest polymorph listed for this composition, meV/atom: 193.7



No. 2
Ba3NF3: optimized geometry, PBE.

Cell: 4.1013 7.7297 10.7267 Å, 102.05 90.00 90.00°
Fractional positions:
F 0.2500 0.4456 0.9009
F 0.7500 0.5544 0.0991
F 0.7500 0.6483 0.6068
F 0.2500 0.9918 0.8918
F 0.7500 0.0082 0.1082
F 0.2500 0.3517 0.3932
N 0.2500 0.8334 0.3452
N 0.7500 0.1666 0.6548
Ba 0.2500 0.4041 0.6532
Ba 0.2500 0.9176 0.6319
Ba 0.2500 0.7754 0.0771
Ba 0.7500 0.0824 0.3681
Ba 0.7500 0.5959 0.3468
Ba 0.7500 0.2246 0.9229

Symmetry: P2_1/m, No. 11
Formation energy (no corrections), eV/atom: -2.606